VASP calculation (PBE with a Hubbard U) on a geometry-optimized NaMnF4 structure.

Cell lengths 5.851, 4.998, 5.878 Å; angles 90.00, 108.62, 90.00 degrees
Positions (direct):
1 Na 0.000 0.000 0.000
2 Na 0.000 0.500 0.500
3 Mn 0.500 0.000 0.500
4 Mn 0.500 0.500 0.000
5 F 0.193 0.152 0.387
6 F 0.193 0.348 0.887
7 F 0.379 0.733 0.665
8 F 0.379 0.767 0.165
9 F 0.621 0.233 0.835
10 F 0.621 0.267 0.335
11 F 0.807 0.652 0.113
12 F 0.807 0.848 0.613

space group = P2_1/c (14)
final energy = -5.338 eV/atom